Entry 1:
First-principles (PBE) data for a relaxed structure of Al2CdAg5, as listed in Alexandria via LeMat-Bulk.

The structure belongs to space group I4/mcm (No. 140); the cell edges are 7.136, 7.136 and 11.290 Å and the angles 90.00°, 90.00° and 90.00°. Symmetry generates all atoms from Al at (0.145, 0.355, 0.000), Cd at (0.000, 0.000, 0.250), Ag at (0.000, 0.000, 0.000) and Ag at (0.148, 0.352, 0.345).

The value obtained for the polymorph energy (0 for the lowest one) is 1.34 kcal/mol of atoms. The calculation puts the total DFT energy (no corrections) at -90.15 eV/cell.

***

Entry 2:
First-principles (PBE) data for a relaxed structure of PmPrBi6, as listed in Alexandria via LeMat-Bulk.

The structure belongs to space group Amm2 (No. 38); the cell edges are 4.705, 4.703 and 23.377 Å and the angles 90.00°, 90.00° and 90.00°. Symmetry generates all atoms from Pm at (0.000, 0.000, 0.000), Pr at (0.500, 0.000, 0.352), Bi at (0.000, 0.000, 0.241), Bi at (0.000, 0.000, 0.617), Bi at (0.000, 0.000, 0.862), Bi at (0.500, 0.000, 0.109), Bi at (0.500, 0.000, 0.491) and Bi at (0.500, 0.000, 0.733).

The calculation puts the total DFT energy (no corrections) at -71.73 eV/cell.

***

Entry 3:
First-principles (PBE) data for a relaxed structure of Pr15Dy2Mg2, as listed in Alexandria via LeMat-Bulk.

The structure belongs to space group R-3m (No. 166, hexagonal axes); the cell edges are 11.3797, 11.3797 and 17.9885 Å and the angles 90.00°, 90.00° and 120.00°. Symmetry generates all atoms from Pr at (0.0000, 0.2958, 0.0000), Pr at (0.0000, 0.5000, 0.5000), Pr at (0.0222, 0.5111, 0.1375), Dy at (0.0000, 0.0000, 0.3104) and Mg at (0.0000, 0.0000, 0.0923).

The calculation puts the total DFT energy (no corrections) at -239.61 eV/cell.